A plane-wave DFT calculation with PBE with a Hubbard U was carried out for a relaxed structure of Mg6VBiO8.

The structure in extended XYZ format:
```
16
Lattice="4.5353 0.0000 0.0000 0.0000 4.5353 0.0000 0.0000 0.0000 8.8968" Properties=species:S:1:pos:R:3 pbc="T T T"
Mg 0.0000 0.0000 0.0000
Mg 0.0000 2.2677 2.0756
Mg 0.0000 2.2677 6.8212
Mg 2.2677 0.0000 2.0756
Mg 2.2677 0.0000 6.8212
Mg 2.2677 2.2677 0.0000
V 0.0000 0.0000 4.4484
Bi 2.2677 2.2677 4.4484
O 0.0000 0.0000 2.1556
O 0.0000 0.0000 6.7412
O 0.0000 2.2677 0.0000
O 0.0000 2.2677 4.4484
O 2.2677 0.0000 0.0000
O 2.2677 0.0000 4.4484
O 2.2677 2.2677 2.0026
O 2.2677 2.2677 6.8942
```

total magnetic moment	3.715	μB/f.u.
energy above the lowest structure with this stoichiometry	0.0	meV per atom
electronic total energy	-93.51	eV/cell
V	183.0	Å³ per cell
crystal system	tetragonal